# Th2AlRu (PBE, optimized geometry)
# **Magnetization**: 0.00 μB per cell
# **Final energy**: -7.25 eV/atom
data_Th2AlRu
_chemical_formula_sum 'Th2 Al1 Ru1'
_cell_length_a 3.689
_cell_length_b 3.689
_cell_length_c 7.040
_cell_angle_alpha 90.00
_cell_angle_beta 90.00
_cell_angle_gamma 90.00
_space_group_name_H-M_alt 'P 4/m m m'
_space_group_IT_number 123
_space_group_name_Hall '-P 4 2'
loop_
_atom_site_label
_atom_site_fract_x
_atom_site_fract_y
_atom_site_fract_z
_atom_site_occupancy
Th1 0.000 0.000 0.231 1
Al1 0.500 0.500 0.500 1
Ru1 0.500 0.500 0.000 1